1.
First-principles (GGA-PBE) data for a relaxed structure of Mn3Tl, as listed in Alexandria.

The structure in POSCAR format:
```
Mn3Tl
1.0
4.5524 0.0000 0.0000
0.0000 4.8665 0.0000
0.0000 0.0000 5.6185
Tl Mn
2 6
Direct
0.0000 0.6546 0.0000
0.5000 0.3454 0.5000
0.0000 0.7143 0.5000
0.5000 0.8405 0.2536
0.0000 0.1595 0.7536
0.5000 0.8405 0.7464
0.5000 0.2857 0.0000
0.0000 0.1595 0.2464
```

Calculated values
Total moment: 2.31 μB per formula unit
ΔH_f (0 K): 0.409 eV/atom
Calculated volume: 15.559 Å³ per atom

***

2.
First-principles (GGA-PBE) data for a relaxed structure of MnTl, as listed in Alexandria.

The structure in POSCAR format:
```
MnTl
1.0
-4.8111 -2.8333 0.0798
2.2671 -3.9410 -3.2418
1.7347 -2.8151 4.6354
Tl Mn
4 4
Direct
0.8027 0.1973 0.5000
0.1973 0.8027 0.5000
0.6973 0.6973 0.0000
0.3027 0.3027 0.0000
0.8131 0.1869 0.0000
0.1869 0.8131 0.0000
0.3131 0.3131 0.5000
0.6869 0.6869 0.5000
```

Calculated values
Total moment: 3.73 μB per formula unit
ΔH_f (0 K): 0.693 eV/atom
Calculated volume: 22.193 Å³ per atom

***

3.
First-principles (GGA-PBE) data for a relaxed structure of MnTl, as listed in Alexandria.

The structure in POSCAR format:
```
MnTl
1.0
5.5900 0.0180 0.0000
2.6071 4.9448 0.0000
-4.0986 -2.4814 2.8797
Tl Mn
2 2
Direct
0.7500 0.2500 0.5000
0.5000 0.5000 0.0000
0.0000 0.0000 0.0000
0.2500 0.7500 0.5000
```

Calculated values
Total moment: 3.48 μB per formula unit
ΔH_f (0 K): 0.541 eV/atom
Calculated volume: 19.866 Å³ per atom

***

4.
First-principles (GGA-PBE) data for a relaxed structure of MnTl3, as listed in Alexandria.

The structure in POSCAR format:
```
MnTl3
1.0
-2.3683 -2.2939 -0.5820
0.4139 -1.1997 3.0982
-6.3963 5.8159 3.1064
Tl Mn
3 1
Direct
0.5000 0.5000 0.7977
0.5000 0.5000 0.2023
0.0000 0.0000 0.5000
0.0000 0.0000 0.0000
```

Calculated values
Total moment: 3.86 μB per formula unit
ΔH_f (0 K): 0.300 eV/atom
Calculated volume: 25.743 Å³ per atom

***

5.
First-principles (GGA-PBE) data for a relaxed structure of MnTl, as listed in Alexandria.

The structure in POSCAR format:
```
MnTl
1.0
-4.8658 0.4310 0.4945
-3.5483 -0.4901 3.3579
-3.3678 2.6459 2.4007
Mn Tl
1 1
Direct
0.0000 0.0000 0.0000
0.5000 0.5000 0.5000
```

Calculated values
Total moment: 3.92 μB per formula unit
ΔH_f (0 K): 0.551 eV/atom
Calculated volume: 21.147 Å³ per atom

***

6.
First-principles (GGA-PBE) data for a relaxed structure of MnTl3, as listed in Alexandria.

The structure in POSCAR format:
```
MnTl3
1.0
-5.0136 -2.2503 -1.4671
3.6255 -0.7002 -4.3264
0.9646 -2.9918 1.2925
Tl Mn
3 1
Direct
0.5000 0.5000 0.0000
0.0000 0.5000 0.5000
0.5000 0.0000 0.5000
0.0000 0.0000 0.0000
```

Calculated values
Total moment: 4.39 μB per formula unit
ΔH_f (0 K): 0.383 eV/atom
Calculated volume: 26.073 Å³ per atom

***

7.
First-principles (GGA-PBE) data for a relaxed structure of MnTl2, as listed in Alexandria.

The structure in POSCAR format:
```
MnTl2
1.0
2.4637 -6.0801 0.0000
2.4637 6.0801 0.0000
0.0000 0.0000 4.8529
Mn Tl
2 4
Direct
0.2002 0.2002 0.7500
0.7998 0.7998 0.2500
0.1251 0.4178 0.2500
0.4178 0.1251 0.2500
0.5822 0.8749 0.7500
0.8749 0.5822 0.7500
```

Calculated values
Total moment: 4.03 μB per formula unit
ΔH_f (0 K): 0.426 eV/atom
Calculated volume: 24.232 Å³ per atom

***

8.
First-principles (GGA-PBE) data for a relaxed structure of MnTl, as listed in Alexandria.

The structure in POSCAR format:
```
MnTl
1.0
-0.1209 1.9364 5.3068
0.7822 -4.5776 -3.2187
4.5205 0.9417 -0.2407
Mn Tl
2 2
Direct
0.4168 0.5833 0.2500
0.5833 0.4168 0.7500
0.1463 0.8537 0.2500
0.8537 0.1463 0.7500
```

Calculated values
Total moment: 3.93 μB per formula unit
ΔH_f (0 K): 0.561 eV/atom
Calculated volume: 21.353 Å³ per atom

***

9.
First-principles (GGA-PBE) data for a relaxed structure of Mn2Tl, as listed in Alexandria.

The structure in POSCAR format:
```
Mn2Tl
1.0
-3.8819 3.2203 -1.6140
3.3036 -2.1459 -3.5392
-4.8996 -6.2876 -0.7612
Tl Mn
4 8
Direct
0.6667 0.3333 0.9422
0.6667 0.3333 0.5578
0.3333 0.6667 0.4422
0.3333 0.6667 0.0578
0.8374 0.1626 0.2500
0.0000 0.0000 0.5000
0.1626 0.8374 0.7500
0.0000 0.0000 0.0000
0.3253 0.1626 0.2500
0.8374 0.6747 0.2500
0.6747 0.8374 0.7500
0.1626 0.3253 0.7500
```

Calculated values
Total moment: 4.57 μB per formula unit
ΔH_f (0 K): 0.588 eV/atom
Calculated volume: 16.207 Å³ per atom

***

10.
First-principles (GGA-PBE) data for a relaxed structure of MnTl3, as listed in Alexandria.

The structure in POSCAR format:
```
MnTl3
1.0
-6.6475 -1.6004 1.4280
5.1812 -3.4758 3.1406
-0.0074 3.3192 3.6856
Tl Mn
6 2
Direct
0.8248 0.1752 0.7500
0.6496 0.8248 0.2500
0.8248 0.6496 0.7500
0.3504 0.1752 0.7500
0.1752 0.8248 0.2500
0.1752 0.3504 0.2500
0.6667 0.3333 0.2500
0.3333 0.6667 0.7500
```

Calculated values
Total moment: 4.20 μB per formula unit
ΔH_f (0 K): 0.402 eV/atom
Calculated volume: 26.196 Å³ per atom

***

11.
First-principles (GGA-PBE) data for a relaxed structure of Mn4Tl, as listed in Alexandria.

The structure in POSCAR format:
```
Mn4Tl
1.0
-0.4285 2.4456 4.7478
-0.9601 3.5259 -3.9182
-3.5604 -3.9939 -0.2794
Mn Tl
4 1
Direct
0.0000 0.5000 0.0000
0.0000 0.0000 0.5000
0.5000 0.5000 0.5000
0.5000 0.0000 0.0000
0.0000 0.0000 0.0000
```

Calculated values
Total moment: 17.05 μB per formula unit
ΔH_f (0 K): 1.322 eV/atom
Calculated volume: 23.679 Å³ per atom

***

12.
First-principles (GGA-PBE) data for a relaxed structure of Mn8Tl, as listed in Alexandria.

The structure in POSCAR format:
```
Mn8Tl
1.0
-3.8845 3.8845 1.8037
3.8845 -3.8845 1.8037
3.8845 3.8845 -1.8037
Mn Tl
8 1
Direct
0.6880 0.3120 0.0000
0.0000 0.6505 0.6505
0.3120 0.6880 0.0000
0.6880 0.6880 0.3760
0.3495 0.0000 0.3495
0.0000 0.3495 0.3495
0.3120 0.3120 0.6240
0.6505 0.0000 0.6505
0.0000 0.0000 0.0000
```

Calculated values
Total moment: 0.00 μB per formula unit
ΔH_f (0 K): 0.311 eV/atom
Calculated volume: 12.096 Å³ per atom

***

13.
First-principles (GGA-PBE) data for a relaxed structure of MnTl, as listed in Alexandria.

The structure in POSCAR format:
```
MnTl
1.0
-0.6550 -0.9644 3.0186
-2.2557 -0.2564 -2.3058
3.3666 -9.3435 -2.2545
Tl Mn
2 2
Direct
0.6667 0.3333 0.8210
0.3333 0.6667 0.3210
0.6667 0.3333 0.5500
0.3333 0.6667 0.0500
```

Calculated values
Total moment: 4.05 μB per formula unit
ΔH_f (0 K): 0.727 eV/atom
Calculated volume: 23.087 Å³ per atom

***

14.
First-principles (GGA-PBE) data for a relaxed structure of Mn3Tl, as listed in Alexandria.

The structure in POSCAR format:
```
Mn3Tl
1.0
-0.2607 5.0846 1.4262
-5.1818 -0.5216 0.9124
1.0181 -1.3527 5.0089
Mn Tl
3 1
Direct
0.0000 0.5000 0.0000
0.0000 0.0000 0.5000
0.5000 0.0000 0.0000
0.0000 0.0000 0.0000
```

Calculated values
Total moment: 13.61 μB per formula unit
ΔH_f (0 K): 1.682 eV/atom
Calculated volume: 36.952 Å³ per atom

***

15.
First-principles (GGA-PBE) data for a relaxed structure of MnTl, as listed in Alexandria.

The structure in POSCAR format:
```
MnTl
1.0
-6.2933 2.6036 -4.7392
-0.7634 -7.6270 -3.1764
-5.3531 -1.9732 6.0245
Mn Tl
8 8
Direct
0.8900 0.1100 0.8900
0.3900 0.3900 0.6100
0.3900 0.6100 0.3900
0.6100 0.3900 0.3900
0.6100 0.6100 0.6100
0.1100 0.8900 0.8900
0.8900 0.8900 0.1100
0.1100 0.1100 0.1100
0.7947 0.7947 0.7947
0.7053 0.7053 0.2947
0.2053 0.7947 0.2053
0.7053 0.2947 0.7053
0.7947 0.2053 0.2053
0.2947 0.7053 0.7053
0.2947 0.2947 0.2947
0.2053 0.2053 0.7947
```

Calculated values
Total moment: 3.41 μB per formula unit
ΔH_f (0 K): 0.865 eV/atom
Calculated volume: 35.701 Å³ per atom

***

16.
First-principles (GGA-PBE) data for a relaxed structure of MnTl2, as listed in Alexandria.

The structure in POSCAR format:
```
MnTl2
1.0
4.8223 0.0000 0.0000
-2.4111 4.1762 0.0000
0.0000 0.0000 3.6851
Mn Tl
1 2
Direct
0.0000 0.0000 0.0000
0.6667 0.3333 0.2828
0.3333 0.6667 0.7172
```

Calculated values
Total moment: 4.05 μB per formula unit
ΔH_f (0 K): 0.479 eV/atom
Calculated volume: 24.738 Å³ per atom

***

17.
First-principles (GGA-PBE) data for a relaxed structure of Mn2Tl, as listed in Alexandria.

The structure in POSCAR format:
```
Mn2Tl
1.0
-4.0146 -1.2746 1.9881
4.0024 -0.4463 2.3400
-0.6316 5.2307 2.0780
Mn Tl
4 2
Direct
0.6667 0.3333 0.7500
0.0000 0.0000 0.0000
0.0000 0.0000 0.5000
0.3333 0.6667 0.2500
0.6667 0.3333 0.2500
0.3333 0.6667 0.7500
```

Calculated values
Total moment: 7.27 μB per formula unit
ΔH_f (0 K): 0.531 eV/atom
Calculated volume: 17.734 Å³ per atom

***

18.
First-principles (GGA-PBE) data for a relaxed structure of MnTl, as listed in Alexandria.

The structure in POSCAR format:
```
MnTl
1.0
-5.7033 8.4693 -1.8695
1.5441 -1.2103 -10.1933
-2.5647 -1.7666 -0.1788
Mn Tl
8 8
Direct
0.1596 0.4670 0.0000
0.5330 0.1596 0.0000
0.4670 0.8404 0.0000
0.3667 0.0274 0.5000
0.0274 0.6333 0.5000
0.9726 0.3667 0.5000
0.8404 0.5330 0.0000
0.6333 0.9726 0.5000
0.6742 0.3636 0.5000
0.6364 0.6742 0.5000
0.8277 0.1304 0.0000
0.1723 0.8696 0.0000
0.3636 0.3258 0.5000
0.8696 0.8277 0.0000
0.3258 0.6364 0.5000
0.1304 0.1723 0.0000
```

Calculated values
Total moment: 3.49 μB per formula unit
ΔH_f (0 K): 0.448 eV/atom
Calculated volume: 21.007 Å³ per atom

***

19.
First-principles (GGA-PBE) data for a relaxed structure of Mn3Tl, as listed in Alexandria.

The structure in POSCAR format:
```
Mn3Tl
1.0
-3.4437 -4.4669 -1.4072
3.8096 -2.1120 -2.6187
2.7194 -4.4814 7.5704
Mn Tl
12 4
Direct
0.6305 0.2551 0.4974
0.1305 0.2449 0.5026
0.1291 0.9188 0.7500
0.6291 0.5812 0.2500
0.3695 0.7449 0.9974
0.3695 0.7449 0.5026
0.8709 0.0812 0.2500
0.3709 0.4188 0.7500
0.8695 0.7551 0.0026
0.8695 0.7551 0.4974
0.6305 0.2551 0.0026
0.1305 0.2449 0.9974
0.6059 0.9173 0.7500
0.3941 0.0827 0.2500
0.8941 0.4173 0.7500
0.1059 0.5827 0.2500
```

Calculated values
Total moment: 10.66 μB per formula unit
ΔH_f (0 K): 0.592 eV/atom
Calculated volume: 17.003 Å³ per atom

***

20.
First-principles (GGA-PBE) data for a relaxed structure of MnTl, as listed in Alexandria.

The structure in POSCAR format:
```
MnTl
1.0
-3.2754 1.4233 -7.0490
7.7274 -1.5677 0.5220
-0.8430 -4.3147 -0.4795
Tl Mn
6 6
Direct
0.1902 0.8098 0.7500
0.3804 0.1902 0.2500
0.8098 0.6196 0.2500
0.1902 0.3804 0.7500
0.6196 0.8098 0.7500
0.8098 0.1902 0.2500
0.5648 0.4352 0.7500
0.5648 0.1297 0.7500
0.8703 0.4352 0.7500
0.1297 0.5648 0.2500
0.4352 0.8703 0.2500
0.4352 0.5648 0.2500
```

Calculated values
Total moment: 1.56 μB per formula unit
ΔH_f (0 K): 0.627 eV/atom
Calculated volume: 19.929 Å³ per atom

***

| no. | DOS at the Fermi energy (states/eV/atom) |
| --- | --- |
| 1 | 1.27 |
| 2 | 1.22 |
| 3 | 0.81 |
| 4 | 0.63 |
| 5 | 0.81 |
| 6 | 0.52 |
| 7 | 0.82 |
| 8 | 1.00 |
| 9 | 1.21 |
| 10 | 0.53 |
| 11 | 1.01 |
| 12 | 1.43 |
| 13 | 1.06 |
| 14 | 0.92 |
| 15 | 0.71 |
| 16 | 0.43 |
| 17 | 1.13 |
| 18 | 0.61 |
| 19 | 0.96 |
| 20 | 0.89 |